# 1
Pa2CuPdS5 PBE-GGA optimized geometry; uncorrected formation energy = -1107 meV/atom
1.0
3.8584 0.0000 0.0000
-1.9292 7.9520 0.0000
0.0000 0.0000 10.9407
Cu S Pa Pd
2 10 4 2
Cartesian
0.0000 6.5868 5.2926 Cu
1.9292 1.3653 10.7630 Cu
0.0000 4.7936 7.2729 S
0.0000 7.8670 3.2736 S
0.0000 0.5869 0.8864 S
0.0000 5.8255 0.0730 S
0.0000 4.8039 3.6172 S
1.9292 3.1481 9.0876 S
1.9292 3.1584 1.8025 S
1.9292 7.3651 6.3568 S
1.9292 0.0850 8.7440 S
1.9292 2.1265 5.5433 S
1.9292 5.9093 8.8380 Pa
0.0000 1.8579 7.5354 Pa
0.0000 2.0427 3.3676 Pa
1.9292 6.0941 2.0650 Pa
1.9292 4.4641 5.0480 Pd
0.0000 3.4879 10.5184 Pd


# 2
PrNd3Pb2 PBE-GGA optimized geometry; formation energy from the elements = -0.206 eV per atom
1.0
-2.6871 5.5665 -4.6147
-7.1337 -1.0813 2.8496
6.2805 2.8708 6.2528
Nd Pr Pb
6 2 4
Cartesian
-6.6938 1.9723 -0.1702 Nd
1.2288 5.9981 0.0726 Nd
-4.7692 1.3579 4.4150 Nd
-2.3381 5.4574 1.4974 Nd
-3.1270 2.5129 -1.5950 Nd
-1.2023 1.8985 2.9902 Nd
-3.5669 -0.5407 1.4248 Pr
0.0000 0.0000 0.0000 Pr
-4.0263 2.6686 1.4923 Pb
-1.4497 5.2606 -1.6331 Pb
-2.0906 2.0954 6.1207 Pb
0.4860 4.6874 2.9953 Pb


# 3
Mn3MoBr PBE-GGA optimized geometry; uncorrected formation energy = 1274 meV/atom
1.0
4.8557 0.0000 0.0000
0.0000 4.8557 0.0000
0.0000 0.0000 4.8557
Mo Br Mn
1 1 3
Cartesian
0.0000 0.0000 0.0000 Mo
2.4279 2.4279 2.4279 Br
0.0000 2.4279 0.0000 Mn
2.4279 0.0000 0.0000 Mn
0.0000 0.0000 2.4279 Mn


# 4
Li2CaRu PBE-GGA optimized geometry; formation energy from the elements = 0.383 eV per atom
1.0
-3.0557 -1.6313 0.3373
1.6630 -2.9457 0.8183
-0.1703 1.5274 5.8444
Ca Li Ru
1 2 1
Cartesian
-0.8241 -1.1430 4.9611 Ca
-0.0738 0.6617 2.5317 Li
-0.0114 0.1021 0.3905 Li
-0.7389 -1.9067 2.0389 Ru